First-principles (PBE-GGA) data for an optimized crystal structure of RbIr3I, as listed in Alexandria via LeMat-Bulk.

Results
Formation energy from raw total energies = 1701 meV per atom
Total DFT energy (no corrections) = -20.6 eV/cell
Density of states at the Fermi level = 6.695 states/eV per cell
Magnetization = 0.00 Bohr magnetons per cell
Offset from the most stable computed form = 0 meV/atom

a b c (Å): 5.0099 5.0099 5.0099
angles (deg): 90.00 90.00 90.00
With the nearest neighbours (Å) after each atom.
Element x y z (fractional)
I 0.0000 0.0000 0.0000  6 Ir 2.50
Ir 0.0000 0.5000 0.0000  2 I 2.50
Ir 0.0000 0.0000 0.5000  2 I 2.50
Ir 0.5000 0.0000 0.0000  2 I 2.50
Rb 0.5000 0.5000 0.5000  12 Ir 3.54

First-principles (PBE-GGA) data for an optimized crystal structure of Rb2IrI5, as listed in Alexandria via LeMat-Bulk.

Results
Formation energy from raw total energies = -701 meV per atom
Total DFT energy (no corrections) = -24.2 eV/cell
Magnetization = 0.00 Bohr magnetons per cell

a b c (Å): 8.4473 8.4472 7.8541
angles (deg): 122.54 122.54 89.99
With the nearest neighbours (Å) after each atom.
Element x y z (fractional)
Rb 0.2577 0.7577 0.5153  10 I 3.93-4.23
Rb 0.7577 0.2577 0.5153  10 I 3.93-4.23
Ir 0.9884 0.9884 0.9767  5 I 2.58-2.67
I 0.7863 0.2325 0.0187  1 Ir 2.67
I 0.2325 0.2325 0.0187  1 Ir 2.67
I 0.7863 0.7863 0.0188  1 Ir 2.67
I 0.2325 0.7863 0.0187  1 Ir 2.67
I 0.7358 0.7358 0.4716  1 Ir 2.58

First-principles (PBE-GGA) data for an optimized crystal structure of RbIr2I2, as listed in Alexandria via LeMat-Bulk.

Results
Formation energy from raw total energies = 905 meV per atom
Total DFT energy (no corrections) = -34.5 eV/cell
Density of states at the Fermi level = 7.390 states/eV per cell
Magnetization = 0.00 Bohr magnetons per cell
Offset from the most stable computed form = 412 meV/atom

a b c (Å): 8.8078 8.8078 3.2993
angles (deg): 90.00 90.00 90.00
With the nearest neighbours (Å) after each atom.
Element x y z (fractional)
I 0.3525 0.8525 0.0000  2 Ir 2.60
I 0.8525 0.6475 0.0000  2 Ir 2.60
I 0.6475 0.1475 0.0000  2 Ir 2.60
I 0.1475 0.3525 0.0000  2 Ir 2.60
Ir 0.1908 0.6908 0.5000  2 I 2.60
Ir 0.6908 0.8092 0.5000  2 I 2.60
Ir 0.8092 0.3092 0.5000  2 I 2.60
Ir 0.3092 0.1908 0.5000  2 I 2.60
Rb 0.0000 0.0000 0.0000  2 Rb 3.30, 4 I 3.37, 8 Ir 3.60
Rb 0.5000 0.5000 0.0000  2 Rb 3.30, 4 I 3.37, 8 Ir 3.60

First-principles (PBE-GGA) data for an optimized crystal structure of RbIr3I, as listed in Alexandria via LeMat-Bulk.

Results
Formation energy from raw total energies = 3265 meV per atom
Total DFT energy (no corrections) = -12.8 eV/cell
Density of states at the Fermi level = 8.352 states/eV per cell
Magnetization = 3.31 Bohr magnetons per cell
Offset from the most stable computed form = 1564 meV/atom

a b c (Å): 5.0414 5.0414 5.0414
angles (deg): 90.00 90.00 90.00
With the nearest neighbours (Å) after each atom.
Element x y z (fractional)
I 0.5000 0.5000 0.5000  12 Ir 3.56
Ir 0.0000 0.5000 0.0000  2 Rb 2.52
Ir 0.0000 0.0000 0.5000  2 Rb 2.52
Ir 0.5000 0.0000 0.0000  2 Rb 2.52
Rb 0.0000 0.0000 0.0000  6 Ir 2.52

First-principles (PBE-GGA) data for an optimized crystal structure of Rb2Ir2I, as listed in Alexandria via LeMat-Bulk.

Results
Formation energy from raw total energies = 584 meV per atom
Total DFT energy (no corrections) = -36.6 eV/cell
Density of states at the Fermi level = 9.326 states/eV per cell
Magnetization = 1.56 Bohr magnetons per cell

a b c (Å): 7.1146 7.1146 5.6342
angles (deg): 90.00 90.00 90.00
With the nearest neighbours (Å) after each atom.
Element x y z (fractional)
I 0.0000 0.0000 0.0000  4 Ir 2.84
I 0.5000 0.5000 0.0000  4 Ir 2.84
Ir 0.3800 0.8800 0.0000  1 Ir 2.41
Ir 0.8800 0.6200 0.0000  1 Ir 2.41
Ir 0.6200 0.1200 0.0000  1 Ir 2.41
Ir 0.1200 0.3800 0.0000  1 Ir 2.41
Rb 0.1764 0.6764 0.5000  6 Ir 3.48-3.54, 5 Rb 3.55-3.71, 4 I 3.85
Rb 0.6764 0.8236 0.5000  6 Ir 3.48-3.54, 5 Rb 3.55-3.71, 4 I 3.85
Rb 0.8236 0.3236 0.5000  6 Ir 3.48-3.54, 5 Rb 3.55-3.71, 4 I 3.85
Rb 0.3236 0.1764 0.5000  6 Ir 3.48-3.54, 5 Rb 3.55-3.71, 4 I 3.85

First-principles (PBE-GGA) data for an optimized crystal structure of Rb2ReIrI6, as listed in Alexandria via LeMat-Bulk.

Results
Formation energy from raw total energies = -189 meV per atom
Total DFT energy (no corrections) = -34.4 eV/cell
Density of states at the Fermi level = 3.221 states/eV per cell
Magnetization = 3.98 Bohr magnetons per cell

a b c (Å): 7.9992 7.9992 7.9974
angles (deg): 59.99 59.99 90.00
With the nearest neighbours (Å) after each atom.
Element x y z (fractional)
I 0.2480 0.2480 0.5040  1 Ir 2.80, 1 Re 2.85
I 0.7520 0.7520 0.4960  1 Ir 2.80, 1 Re 2.85
I 0.2474 0.2474 0.0000  1 Ir 2.80, 1 Re 2.86
I 0.7526 0.7526 0.0000  1 Ir 2.80, 1 Re 2.86
I 0.7526 0.2474 0.0000  1 Ir 2.80, 1 Re 2.86
I 0.2474 0.7526 0.0000  1 Ir 2.80, 1 Re 2.86
Re 0.5000 0.5000 0.0000  6 I 2.85-2.86
Ir 0.0000 0.0000 0.0000  6 I 2.80
Rb 0.7500 0.2500 0.5000  12 I 4.00
Rb 0.2500 0.7500 0.5000  12 I 4.00

First-principles (PBE-GGA) data for an optimized crystal structure of Rb2IrRuI6, as listed in Alexandria via LeMat-Bulk.

Results
Formation energy from raw total energies = -318 meV per atom
Total DFT energy (no corrections) = -32.6 eV/cell
Density of states at the Fermi level = 10.486 states/eV per cell
Magnetization = 2.52 Bohr magnetons per cell

a b c (Å): 7.9408 7.9408 7.9459
angles (deg): 60.02 60.02 90.00
With the nearest neighbours (Å) after each atom.
Element x y z (fractional)
I 0.2466 0.2466 0.5068  1 Ir 2.77, 1 Ru 2.85
I 0.7534 0.7534 0.4932  1 Ir 2.77, 1 Ru 2.85
I 0.2464 0.2464 0.0000  1 Ir 2.77, 1 Ru 2.85
I 0.7536 0.7536 0.0000  1 Ir 2.77, 1 Ru 2.85
I 0.7536 0.2464 0.0000  1 Ir 2.77, 1 Ru 2.85
I 0.2464 0.7536 0.0000  1 Ir 2.77, 1 Ru 2.85
Ru 0.5000 0.5000 0.0000  6 I 2.85
Ir 0.0000 0.0000 0.0000  6 I 2.77
Rb 0.7500 0.2500 0.5000  12 I 3.97
Rb 0.2500 0.7500 0.5000  12 I 3.97

First-principles (PBE-GGA) data for an optimized crystal structure of RbSbIrI2, as listed in Alexandria via LeMat-Bulk.

Results
Formation energy from raw total energies = 1576 meV per atom
Total DFT energy (no corrections) = -9.2 eV/cell
Density of states at the Fermi level = 11.063 states/eV per cell
Magnetization = 6.64 Bohr magnetons per cell
Offset from the most stable computed form = 1793 meV/atom

a b c (Å): 6.8812 6.8812 6.9897
angles (deg): 90.00 90.00 90.00
With the nearest neighbours (Å) after each atom.
Element x y z (fractional)
I 0.0000 0.5000 0.0000  2 Rb 3.44
I 0.5000 0.0000 0.0000  2 Rb 3.44
Sb 0.0000 0.0000 0.5000  2 Rb 3.49
Ir 0.5000 0.5000 0.5000  4 Sb 4.87, 8 I 4.90
Rb 0.0000 0.0000 0.0000  4 I 3.44, 2 Sb 3.49

First-principles (PBE-GGA) data for an optimized crystal structure of RbSbIrI2, as listed in Alexandria via LeMat-Bulk.

Results
Formation energy from raw total energies = -218 meV per atom
Total DFT energy (no corrections) = -18.1 eV/cell
Density of states at the Fermi level = 1.475 states/eV per cell
Magnetization = 0.00 Bohr magnetons per cell
Offset from the most stable computed form = 0 meV/atom

a b c (Å): 5.9559 5.9559 4.9599
angles (deg): 90.00 90.00 90.00
With the nearest neighbours (Å) after each atom.
Element x y z (fractional)
I 0.0000 0.5000 0.0000  2 Ir 2.98
I 0.5000 0.0000 0.0000  2 Ir 2.98
Sb 0.0000 0.0000 0.5000  2 Ir 2.48
Ir 0.0000 0.0000 0.0000  2 Sb 2.48
Rb 0.5000 0.5000 0.5000  8 I 3.88, 4 Sb 4.21

First-principles (PBE-GGA) data for an optimized crystal structure of Rb2SbIrI6, as listed in Alexandria via LeMat-Bulk.

Results
Formation energy from raw total energies = -540 meV per atom
Total DFT energy (no corrections) = -29.6 eV/cell
Density of states at the Fermi level = 4.034 states/eV per cell
Magnetization = 0.00 Bohr magnetons per cell

a b c (Å): 8.2635 8.2635 8.2834
angles (deg): 60.08 60.08 90.00
With the nearest neighbours (Å) after each atom.
Element x y z (fractional)
I 0.2349 0.2349 0.5301  1 Ir 2.76
I 0.7651 0.7651 0.4699  1 Ir 2.76
I 0.2352 0.2352 0.0000  1 Ir 2.75
I 0.7648 0.7648 0.0000  1 Ir 2.75
I 0.7648 0.2352 0.0000  1 Ir 2.75
I 0.2352 0.7648 0.0000  1 Ir 2.75
Sb 0.5000 0.5000 0.0000  6 I 3.09-3.11
Ir 0.0000 0.0000 0.0000  6 I 2.75-2.76
Rb 0.7500 0.2500 0.5000  12 I 4.14-4.15
Rb 0.2500 0.7500 0.5000  12 I 4.14-4.15

First-principles (PBE-GGA) data for an optimized crystal structure of Rb2ScIrI6, as listed in Alexandria via LeMat-Bulk.

Results
Formation energy from raw total energies = -770 meV per atom
Total DFT energy (no corrections) = -34.1 eV/cell
Density of states at the Fermi level = 1.894 states/eV per cell
Magnetization = 1.77 Bohr magnetons per cell

a b c (Å): 8.1374 8.1374 8.1599
angles (deg): 60.09 60.09 90.00
With the nearest neighbours (Å) after each atom.
Element x y z (fractional)
I 0.2462 0.2462 0.5075  1 Ir 2.85, 1 Sc 2.94
I 0.7538 0.7538 0.4925  1 Ir 2.85, 1 Sc 2.94
I 0.2449 0.2449 0.0000  1 Ir 2.82, 1 Sc 2.94
I 0.7551 0.7551 0.0000  1 Ir 2.82, 1 Sc 2.94
I 0.7551 0.2449 0.0000  1 Ir 2.82, 1 Sc 2.94
I 0.2449 0.7551 0.0000  1 Ir 2.82, 1 Sc 2.94
Sc 0.5000 0.5000 0.0000  6 I 2.94
Ir 0.0000 0.0000 0.0000  6 I 2.82-2.85
Rb 0.7500 0.2500 0.5000  12 I 4.07-4.08
Rb 0.2500 0.7500 0.5000  12 I 4.07-4.08

First-principles (PBE-GGA) data for an optimized crystal structure of RbTcIrI2, as listed in Alexandria via LeMat-Bulk.

Results
Formation energy from raw total energies = 2040 meV per atom
Total DFT energy (no corrections) = -13.1 eV/cell
Density of states at the Fermi level = 4.921 states/eV per cell
Magnetization = 6.47 Bohr magnetons per cell

a b c (Å): 6.4380 5.2618 6.4380
angles (deg): 90.00 90.00 90.00
With the nearest neighbours (Å) after each atom.
Element x y z (fractional)
I 0.0000 0.0000 0.5000  2 Rb 3.22
I 0.5000 0.0000 0.0000  2 Rb 3.22
Ir 0.0000 0.5000 0.0000  2 Rb 2.63
Tc 0.5000 0.5000 0.5000  8 I 4.16, 4 Ir 4.55
Rb 0.0000 0.0000 0.0000  2 Ir 2.63

First-principles (PBE-GGA) data for an optimized crystal structure of RbTeIrI2, as listed in Alexandria via LeMat-Bulk.

Results
Formation energy from raw total energies = 1517 meV per atom
Total DFT energy (no corrections) = -8.5 eV/cell
Density of states at the Fermi level = 21.704 states/eV per cell
Magnetization = 4.15 Bohr magnetons per cell
Offset from the most stable computed form = 1780 meV/atom

a b c (Å): 6.7181 6.7181 6.7593
angles (deg): 90.00 90.00 90.00
With the nearest neighbours (Å) after each atom.
Element x y z (fractional)
I 0.0000 0.5000 0.0000  2 Rb 3.36
I 0.5000 0.0000 0.0000  2 Rb 3.36
Ir 0.5000 0.5000 0.5000  4 Te 4.75, 8 I 4.77
Te 0.0000 0.0000 0.5000  2 Rb 3.38
Rb 0.0000 0.0000 0.0000  4 I 3.36, 2 Te 3.38